10
Lattice="-3.2897 5.4941 2.6652 3.2897 -5.4941 2.6652 3.2897 5.4941 -2.6652" Properties=species:S:1:pos:R:3 comment="Li3Hg2 PBE optimized geometry" delta_e_f_ev_per_atom=-0.225 total_magnetization_mub_per_fu=0.0 spacegroup="Ibam (72)" volume_a3_per_atom=19.3 de_polymorph_ev_per_atom=0.102 pbc="T T T"
Li 4.2284 1.0228 0.0000
Li 0.0000 0.0000 1.3326
Li 0.9387 4.4713 0.0000
Li 2.3510 1.0228 2.6652
Li 0.0000 0.0000 3.9978
Li -0.9387 4.4713 2.6652
Hg 1.5916 1.8083 0.0000
Hg 1.5916 -1.8083 2.6652
Hg 1.6981 7.3024 0.0000
Hg 1.6981 3.6858 2.6652